(1)
Sr2Zn3CuAg12 (PBE, optimized geometry); DOS(E_F) = 3.70 states/eV per cell; ΔE_f = 0.071 eV/atom; density = 7.1 g/cm³; magnetic moment = 0.0 μB/f.u.
1.0
-3.479 -7.316 -6.390
1.723 -9.886 -2.399
-4.745 -9.157 0.289
Zn Ag Sr Cu
3 12 2 1
direct
0.500 0.000 0.000 Zn
0.000 0.000 0.500 Zn
0.000 0.500 0.000 Zn
0.069 0.069 0.653 Ag
0.187 0.588 0.588 Ag
0.588 0.187 0.588 Ag
0.347 0.931 0.931 Ag
0.931 0.931 0.347 Ag
0.813 0.412 0.412 Ag
0.412 0.412 0.813 Ag
0.069 0.653 0.069 Ag
0.653 0.069 0.069 Ag
0.931 0.347 0.931 Ag
0.588 0.588 0.187 Ag
0.412 0.813 0.412 Ag
0.651 0.651 0.651 Sr
0.349 0.349 0.349 Sr
0.000 0.000 0.000 Cu

(2)
SrZrCuAg2 (PBE, optimized geometry); DOS(E_F) = 4.56 states/eV per cell; ΔE_f = 0.315 eV/atom; density = 6.1 g/cm³; magnetic moment = 1.1 μB/f.u.
1.0
5.062 0.000 0.000
0.000 4.858 0.000
0.000 0.000 5.062
Sr Ag Zr Cu
1 2 1 1
direct
0.500 0.500 0.500 Sr
0.000 0.000 0.500 Ag
0.500 0.000 0.000 Ag
0.000 0.500 0.000 Zr
0.000 0.000 0.000 Cu

Please write out number 2 again, unchanged.
SrZrCuAg2 (PBE, optimized geometry); DOS(E_F) = 4.56 states/eV per cell; ΔE_f = 0.315 eV/atom; density = 6.1 g/cm³; magnetic moment = 1.1 μB/f.u.
1.0
5.062 0.000 0.000
0.000 4.858 0.000
0.000 0.000 5.062
Sr Ag Zr Cu
1 2 1 1
direct
0.500 0.500 0.500 Sr
0.000 0.000 0.500 Ag
0.500 0.000 0.000 Ag
0.000 0.500 0.000 Zr
0.000 0.000 0.000 Cu

What is the ΔE_f in the first record?
0.071 eV/atom

Look up the density of the first one.
7.1 g/cm³